[1]
## CuIr2W (PBE)

Data for a relaxed structure of CuIr2W.

Unit cell a=4.6770 b=4.6770 c=2.7713 alpha=90.00 beta=90.00 gamma=107.08
Last column: nearest neighbours and their distance in Å.
Atoms (fractional coordinates):
1 Ir 0.5000 0.5000 0.0000  4 Cu 2.72, 4 W 2.72, 4 Ir 2.77-2.78
2 Cu 0.0000 0.5000 0.5000  8 Ir 2.72, 2 Cu 2.77, 2 W 2.78
3 W 0.5000 0.0000 0.5000  8 Ir 2.72, 2 W 2.77, 2 Cu 2.78
4 Ir 0.0000 0.0000 0.0000  4 W 2.72, 4 Cu 2.72, 4 Ir 2.77-2.78

Computed properties:
Total DFT energy (no corrections) = -8.67 eV/atom
Offset from the most stable computed form = 180 meV per atom
ΔE_f = 21 meV per atom
Density of states at the Fermi level = 4.25 states/eV/f.u.

[2]
## VReSnS2 (PBE)

Data for a relaxed structure of VReSnS2.

Unit cell a=4.4521 b=5.0346 c=4.4521 alpha=90.00 beta=90.00 gamma=90.00
Last column: nearest neighbours and their distance in Å.
Atoms (fractional coordinates):
1 Re 0.0000 0.5000 0.0000  2 V 2.52
2 S 0.5000 0.0000 0.0000  2 V 2.23
3 S 0.0000 0.0000 0.5000  2 V 2.23
4 V 0.0000 0.0000 0.0000  4 S 2.23
5 Sn 0.5000 0.5000 0.5000  4 Re 3.15, 8 S 3.36

Computed properties:
Total DFT energy (no corrections) = -6.19 eV/atom
Raw formation energy = 0.5749 eV per atom
Density of states at the Fermi level = 3.32 states/eV/f.u.

[3]
## Sm4DyTm5 (PBE)

Data for a relaxed structure of Sm4DyTm5.

Unit cell a=3.5021 b=11.1099 c=8.6837 alpha=90.10 beta=101.59 gamma=90.00
Last column: nearest neighbours and their distance in Å.
Atoms (fractional coordinates):
1 Tm 0.8266 0.0505 0.6524  2 Sm 3.29-3.65, 4 Tm 3.32-3.50, 2 Dy 3.48
2 Sm 0.6556 0.2498 0.3123  4 Sm 3.50-3.63, 7 Tm 3.65-3.85, 1 Dy 3.84
3 Sm 0.3444 0.7502 0.6877  4 Sm 3.50-3.63, 7 Tm 3.65-3.85, 1 Dy 3.84
4 Sm 0.9693 0.2509 0.9382  4 Tm 3.29-3.32, 2 Dy 3.33, 4 Sm 3.50-3.63
5 Sm 0.0307 0.7491 0.0618  4 Tm 3.29-3.32, 2 Dy 3.33, 4 Sm 3.50-3.63
6 Tm 0.5000 0.5000 0.0000  4 Sm 3.32, 6 Tm 3.47-3.50
7 Tm 0.8272 0.4513 0.6537  2 Sm 3.29-3.66, 6 Tm 3.33-3.50
8 Tm 0.1728 0.5487 0.3463  2 Sm 3.29-3.66, 6 Tm 3.33-3.50
9 Dy 0.5000 0.0000 0.0000  4 Sm 3.33, 4 Tm 3.48, 2 Dy 3.50
10 Tm 0.1734 0.9495 0.3476  2 Sm 3.29-3.65, 4 Tm 3.32-3.50, 2 Dy 3.48

Computed properties:
Total DFT energy (no corrections) = -4.39 eV/atom
Offset from the most stable computed form = 0 meV per atom
ΔE_f = 196 meV per atom
Density of states at the Fermi level = 13.39 states/eV/f.u.

[4]
## SrBe2Cu (PBE)

Data for a relaxed structure of SrBe2Cu.

Unit cell a=4.7797 b=4.7797 c=2.9887 alpha=90.00 beta=90.00 gamma=94.46
Last column: nearest neighbours and their distance in Å.
Atoms (fractional coordinates):
1 Be 0.0000 0.0000 0.0000  4 Cu 2.82, 4 Sr 2.82, 2 Be 2.99
2 Be 0.5000 0.5000 0.0000  4 Sr 2.82, 4 Cu 2.82, 2 Be 2.99
3 Sr 0.0000 0.5000 0.5000  8 Be 2.82, 2 Sr 2.99
4 Cu 0.5000 0.0000 0.5000  8 Be 2.82, 2 Cu 2.99

Computed properties:
Total DFT energy (no corrections) = -2.35 eV/atom
Offset from the most stable computed form = 915 meV per atom
ΔE_f = 956 meV per atom
Density of states at the Fermi level = 2.94 states/eV/f.u.